Entry from the Alexandria database: a relaxed Ti2Zn2Se crystal (GGA-PBE).

abc: 6.506 6.506 4.126
angles: 90.00 90.00 90.00
Fractional coordinates of all 10 atoms:
Ti 0.343 0.843 0.000
Ti 0.843 0.657 0.000
Ti 0.157 0.343 0.000
Ti 0.657 0.157 0.000
Zn 0.141 0.641 0.500
Zn 0.359 0.141 0.500
Zn 0.641 0.859 0.500
Zn 0.859 0.359 0.500
Se 0.500 0.500 0.000
Se 0.000 0.000 0.000

Calculated values
Formation energy (no corrections), eV per atom: -0.361
Final energy, eV/cell: -47.3

Entry from the Alexandria database: a relaxed BaAgAsS3 crystal (GGA-PBE).

abc: 6.481 6.481 8.636
angles: 71.22 71.22 71.65
Fractional coordinates of all 12 atoms:
As 0.092 0.092 0.814
As 0.908 0.908 0.186
S 0.801 0.283 0.198
S 0.739 0.739 0.441
S 0.717 0.199 0.802
S 0.261 0.261 0.559
S 0.199 0.717 0.802
S 0.283 0.801 0.198
Ba 0.292 0.292 0.180
Ba 0.708 0.708 0.820
Ag 0.696 0.304 0.500
Ag 0.304 0.696 0.500

Calculated values
Formation energy (no corrections), eV per atom: -0.773
Final energy, eV/cell: -52.9

Entry from the Alexandria database: a relaxed LiSmDyCo crystal (GGA-PBE).

abc: 4.913 4.913 4.913
angles: 60.00 60.00 60.00
Fractional coordinates of all 4 atoms:
Sm 0.250 0.250 0.250
Li 0.000 0.000 0.000
Co 0.500 0.500 0.500
Dy 0.750 0.750 0.750

Calculated values
Energy of formation, eV/f.u.: -0.14
Final energy, eV/cell: -18.5

Entry from the Alexandria database: a relaxed TbHoThZn crystal (GGA-PBE).

abc: 3.561 3.561 8.553
angles: 90.00 90.00 90.00
Fractional coordinates of all 4 atoms:
Tb 0.500 0.500 0.783
Th 0.000 0.000 0.073
Ho 0.500 0.500 0.361
Zn 0.000 0.000 0.568

Calculated values
Energy of formation, eV/f.u.: -0.66
Final energy, eV/cell: -18.6

Entry from the Alexandria database: a relaxed Ce3BiP crystal (GGA-PBE).

abc: 4.232 8.400 8.400
angles: 80.80 90.00 90.00
Site moments in Bohr magnetons follow the coordinates.
Fractional coordinates of all 10 atoms:
Ce 0.863 0.383 0.840  0.92
Ce 0.363 0.997 0.049  0.88
Ce 0.863 0.005 0.653  0.92
Ce 0.863 0.788 0.435  0.92
Ce 0.363 0.391 0.444  0.88
Ce 0.863 0.600 0.058  0.92
P 0.363 0.694 0.246  -0.03
P 0.363 0.194 0.746  -0.03
Bi 0.363 0.694 0.746  -0.05
Bi 0.863 0.194 0.246  -0.03

Calculated values
Energy of formation, eV/f.u.: -4.04
Final energy, eV/cell: -62.3

Entry from the Alexandria database: a relaxed Rb8Au6Cl crystal (GGA-PBE).

abc: 5.194 11.592 11.592
angles: 120.00 90.00 90.00
Fractional coordinates of all 15 atoms:
Rb 0.743 0.908 0.223
Rb 0.245 0.667 0.333
Rb 0.257 0.686 0.908
Rb 0.257 0.223 0.314
Rb 0.743 0.314 0.092
Rb 0.257 0.092 0.777
Rb 0.755 0.333 0.667
Rb 0.743 0.777 0.686
Au 0.249 0.548 0.564
Au 0.249 0.017 0.452
Au 0.751 0.983 0.548
Au 0.751 0.564 0.017
Au 0.751 0.452 0.436
Au 0.249 0.436 0.983
Cl 0.500 0.000 0.000

Calculated values
Formation energy (no corrections), eV per atom: -0.457
Final energy, eV/cell: -36.1

Entry from the Alexandria database: a relaxed Y2Sc2ZnGa4 crystal (GGA-PBE).

abc: 6.485 6.485 6.485
angles: 94.91 117.21 117.21
Site moments in Bohr magnetons follow the coordinates.
Fractional coordinates of all 9 atoms:
Ga 0.000 0.250 0.750  -0.01
Ga 0.000 0.750 0.250  -0.01
Ga 0.500 0.750 0.750  -0.01
Ga 0.500 0.250 0.250  -0.01
Sc 0.500 0.750 0.250  0.17
Sc 0.500 0.250 0.750  0.17
Zn 0.000 0.000 0.000  0.01
Y 0.000 0.696 0.696  0.12
Y 0.000 0.304 0.304  0.12

Calculated values
Energy of formation, eV/f.u.: -1.72
Final energy, eV/cell: -40.7

Entry from the Alexandria database: a relaxed Sr2LiW crystal (GGA-PBE).

abc: 5.513 5.513 5.513
angles: 60.00 60.00 60.00
Site moments in Bohr magnetons follow the coordinates.
Fractional coordinates of all 4 atoms:
Sr 0.000 0.000 0.000  0.03
Sr 0.250 0.250 0.250  -0.04
W 0.750 0.750 0.750  2.37
Li 0.500 0.500 0.500  -0.03

Calculated values
Energy of formation, eV/f.u.: 4.56
Final energy, eV/cell: -13.7
Relative energy among the computed polymorphs, meV/atom: 245.6

Entry from the Alexandria database: a relaxed HoTmMgHg crystal (GGA-PBE).

abc: 3.758 3.758 7.288
angles: 90.00 90.00 90.00
Fractional coordinates of all 4 atoms:
Mg 0.500 0.500 0.110
Hg 0.500 0.500 0.603
Ho 0.000 0.000 0.852
Tm 0.000 0.000 0.363

Calculated values
Energy of formation, eV/f.u.: -1.09
Final energy, eV/cell: -12.0
Relative energy among the computed polymorphs, meV/atom: 0.0

Entry from the Alexandria database: a relaxed NpZn2BiO8 crystal (GGA-PBE).

abc: 4.764 4.764 6.784
angles: 89.99 90.01 91.61
Fractional coordinates of all 12 atoms:
Zn 0.500 0.500 0.741
Zn 0.500 0.500 0.259
O 0.309 0.308 0.500
O 0.198 0.801 0.238
O 0.691 0.692 0.500
O 0.709 0.710 0.000
O 0.291 0.290 0.000
O 0.802 0.199 0.238
O 0.802 0.199 0.762
O 0.198 0.801 0.762
Bi 0.000 0.000 0.500
Np 0.000 0.000 0.000

Calculated values
Formation energy (no corrections), eV per atom: -1.547
Final energy, eV/cell: -77.6

Entry from the Alexandria database: a relaxed LiTl16Sn12 crystal (GGA-PBE).

abc: 10.420 10.420 10.443
angles: 109.45 109.45 109.62
Fractional coordinates of all 29 atoms:
Tl 0.999 0.397 0.683
Tl 0.681 0.998 0.397
Tl 0.997 0.640 0.997
Tl 0.284 0.597 0.600
Tl 0.640 0.997 0.997
Tl 0.316 0.316 0.712
Tl 0.998 0.681 0.397
Tl 0.713 0.315 0.316
Tl 0.002 0.002 0.644
Tl 0.001 0.001 0.002
Tl 0.402 0.682 0.004
Tl 0.397 0.999 0.683
Tl 0.597 0.284 0.600
Tl 0.682 0.402 0.004
Tl 0.315 0.713 0.316
Tl 0.369 0.369 0.354
Sn 0.806 0.806 0.176
Sn 0.636 0.636 0.819
Sn 0.367 0.189 0.002
Sn 0.179 0.995 0.361
Sn 0.189 0.367 0.002
Sn 0.635 0.818 0.629
Sn 0.360 0.998 0.183
Sn 0.995 0.179 0.361
Sn 0.818 0.635 0.629
Sn 0.179 0.812 0.813
Sn 0.998 0.360 0.183
Sn 0.812 0.179 0.813
Li 0.634 0.634 0.318

Calculated values
Energy of formation, eV/f.u.: -0.33
Final energy, eV/cell: -88.1

Entry from the Alexandria database: a relaxed TlCdF3 crystal (GGA-PBE).

abc: 3.728 7.086 7.645
angles: 111.27 91.32 74.52
Fractional coordinates of all 10 atoms:
Tl 0.409 0.804 0.167
Tl 0.169 0.316 0.005
Cd 0.661 0.311 0.524
Cd 0.916 0.808 0.648
F 0.373 0.910 0.847
F 0.850 0.935 0.407
F 0.205 0.209 0.325
F 0.503 0.623 0.469
F 0.727 0.185 0.765
F 0.075 0.496 0.703

Calculated values
Formation energy (no corrections), eV per atom: -2.019
Final energy, eV/cell: -38.0